No. 1
Crystalline KBaAu at its relaxed geometry, computed with PBE.

Cell lengths 8.2186, 8.2186, 8.2186 Å; angles 150.81, 150.81, 41.76 degrees
Element x y z (fractional)
K1 0.0000 0.0000 0.0000
Ba1 0.2524 0.2524 0.0000
Au1 0.6465 0.6465 0.0000

Properties
**DFT formation energy**: -1.029 eV/f.u.
**Size of the total moment**: 0.00 μB per formula unit


No. 2
Crystalline LaGaAu3 at its relaxed geometry, computed with PBE.

Cell lengths 4.9566, 4.9566, 4.9566 Å; angles 90.00, 90.00, 90.00 degrees
Element x y z (fractional)
La1 0.0000 0.0000 0.0000
Ga1 0.5000 0.5000 0.5000
Au1 0.0000 0.5000 0.5000
Au2 0.5000 0.0000 0.5000
Au3 0.5000 0.5000 0.0000

Properties
**DFT formation energy**: -1.968 eV/f.u.
**Size of the total moment**: 0.00 μB per formula unit


No. 3
Crystalline KZnCo2 at its relaxed geometry, computed with PBE.

Cell lengths 2.6659, 5.0080, 5.0330 Å; angles 90.00, 90.00, 90.00 degrees
Element x y z (fractional)
K1 0.0000 0.0000 0.0000
Zn1 0.5000 0.0000 0.5000
Co1 0.0000 0.5000 0.5000
Co2 0.5000 0.5000 0.0000

Properties
**DFT formation energy**: 3.887 eV/f.u.
**Size of the total moment**: 3.19 μB per formula unit